# 1
CaHoSc: relaxed, PBE.

Summary:
The formation energy comes out at 139 meV per atom. The relative energy among the computed polymorphs comes out at 0.017 eV per atom. For the volume, the calculation gives 31.3 Å³/atom.

```
data_CaHoSc
_symmetry_space_group_name_H-M 'P 3 m 1'
_symmetry_Int_Tables_number 156
_cell_length_a 3.5164
_cell_length_b 3.5164
_cell_length_c 8.7753
_cell_angle_alpha 90.00
_cell_angle_beta 90.00
_cell_angle_gamma 120.00
loop_
_symmetry_equiv_pos_as_xyz
'x,y,z'
'-y,x-y,z'
'-x+y,-x,z'
'-y,-x,z'
'-x+y,y,z'
'x,x-y,z'
loop_
_atom_site_label
_atom_site_fract_x
_atom_site_fract_y
_atom_site_fract_z
_atom_site_occupancy
Ca1 0.0000 0.0000 0.0000 1
Ho1 0.3333 0.6667 0.6353 1
Sc1 0.6667 0.3333 0.3393 1
```

***

# 2
Al3ReCl: relaxed, PBE.

Summary:
The calculation puts the formation energy (no corrections) at 0.3168 eV/atom. The relative energy among the computed polymorphs comes out at 0.000 eV per atom. For the volume, the calculation gives 23.0 Å³/atom.

```
data_Al3ReCl
_symmetry_space_group_name_H-M 'P m -3 m'
_symmetry_Int_Tables_number 221
_symmetry_space_group_name_Hall '-P 4 2 3'
_cell_length_a 4.861
_cell_length_b 4.861
_cell_length_c 4.861
_cell_angle_alpha 90.00
_cell_angle_beta 90.00
_cell_angle_gamma 90.00
loop_
_atom_site_label
_atom_site_fract_x
_atom_site_fract_y
_atom_site_fract_z
_atom_site_occupancy
Al1 0.000 0.000 0.500 1
Re1 0.000 0.000 0.000 1
Cl1 0.500 0.500 0.500 1
```

***

# 3
TaV5B2: relaxed, PBE.

Summary:
The formation energy comes out at -297 meV per atom. For the volume, the calculation gives 12.0 Å³/atom.

```
data_TaV5B2
_symmetry_space_group_name_H-M 'I m m m'
_symmetry_Int_Tables_number 71
_symmetry_space_group_name_Hall '-I 2 2'
_cell_length_a 3.183
_cell_length_b 7.106
_cell_length_c 8.516
_cell_angle_alpha 90.00
_cell_angle_beta 90.00
_cell_angle_gamma 90.00
loop_
_atom_site_label
_atom_site_fract_x
_atom_site_fract_y
_atom_site_fract_z
_atom_site_occupancy
Ta1 0.000 0.000 0.000 1
V1 0.000 0.187 0.339 1
V2 0.000 0.500 0.000 1
B1 0.000 0.500 0.279 1
```